No. 1
# LiNi3Os PBE relaxed
data_LiNi3Os
_cell_length_a 3.873
_cell_length_b 3.873
_cell_length_c 3.873
_cell_angle_alpha 90.00
_cell_angle_beta 90.00
_cell_angle_gamma 90.00
_space_group_name_H-M_alt 'P 1'
_space_group_IT_number 1
loop_
_space_group_symop_operation_xyz
'x,y,z'
loop_
_atom_site_label
_atom_site_type_symbol
_atom_site_fract_x
_atom_site_fract_y
_atom_site_fract_z
_atom_site_occupancy
Ni1 Ni 0.000 0.500 0.000 1
Ni2 Ni 0.000 0.000 0.500 1
Ni3 Ni 0.500 0.000 0.000 1
Os1 Os 0.500 0.500 0.500 1
Li1 Li 0.000 0.000 0.000 1
# **Space group**: No. 221
# **Electronic total energy**: -25.97 eV per cell
# **Formation energy**: 87.1 kJ/mol of atoms



No. 2
# Hf3Zr5Al3 PBE relaxed
data_Hf3Zr5Al3
_cell_length_a 2.968
_cell_length_b 9.770
_cell_length_c 9.770
_cell_angle_alpha 120.00
_cell_angle_beta 90.00
_cell_angle_gamma 90.00
_space_group_name_H-M_alt 'P 1'
_space_group_IT_number 1
loop_
_space_group_symop_operation_xyz
'x,y,z'
loop_
_atom_site_label
_atom_site_type_symbol
_atom_site_fract_x
_atom_site_fract_y
_atom_site_fract_z
_atom_site_occupancy
Hf1 Hf 0.500 0.608 0.608 1
Hf2 Hf 0.500 0.000 0.392 1
Hf3 Hf 0.500 0.392 0.000 1
Zr1 Zr 0.500 0.333 0.667 1
Zr2 Zr 0.500 0.667 0.333 1
Zr3 Zr 0.500 0.303 0.303 1
Zr4 Zr 0.500 0.000 0.697 1
Zr5 Zr 0.500 0.697 0.000 1
Al1 Al 0.000 0.848 0.848 1
Al2 Al 0.000 0.152 0.000 1
Al3 Al 0.000 0.000 0.152 1
# **Space group**: No. 189
# **Electronic total energy**: -81.52 eV per cell
# **Formation energy**: 20.2 kJ/mol of atoms



No. 3
# BeNiB3 PBE relaxed
data_BeNiB3
_cell_length_a 3.727
_cell_length_b 3.727
_cell_length_c 3.727
_cell_angle_alpha 90.00
_cell_angle_beta 90.00
_cell_angle_gamma 90.00
_space_group_name_H-M_alt 'P 1'
_space_group_IT_number 1
loop_
_space_group_symop_operation_xyz
'x,y,z'
loop_
_atom_site_label
_atom_site_type_symbol
_atom_site_fract_x
_atom_site_fract_y
_atom_site_fract_z
_atom_site_occupancy
Ni1 Ni 0.000 0.000 0.000 1
B1 B 0.000 0.500 0.000 1
B2 B 0.000 0.000 0.500 1
B3 B 0.500 0.000 0.000 1
Be1 Be 0.500 0.500 0.500 1
# **Space group**: No. 221
# **Electronic total energy**: -23.04 eV per cell
# **Formation energy**: 125.5 kJ/mol of atoms



No. 4
# AcPr2GaN4 PBE relaxed
data_AcPr2GaN4
_cell_length_a 3.620
_cell_length_b 6.350
_cell_length_c 12.343
_cell_angle_alpha 90.00
_cell_angle_beta 90.00
_cell_angle_gamma 106.56
_space_group_name_H-M_alt 'P 1'
_space_group_IT_number 1
loop_
_space_group_symop_operation_xyz
'x,y,z'
loop_
_atom_site_label
_atom_site_type_symbol
_atom_site_fract_x
_atom_site_fract_y
_atom_site_fract_z
_atom_site_occupancy
Ac1 Ac 0.101 0.203 0.750 1
Ac2 Ac 0.899 0.797 0.250 1
Pr1 Pr 0.369 0.737 0.545 1
Pr2 Pr 0.631 0.263 0.045 1
Pr3 Pr 0.631 0.263 0.455 1
Pr4 Pr 0.369 0.737 0.955 1
Ga1 Ga 0.830 0.660 0.750 1
Ga2 Ga 0.170 0.340 0.250 1
N1 N 0.269 0.538 0.127 1
N2 N 0.731 0.462 0.627 1
N3 N 0.731 0.462 0.873 1
N4 N 0.269 0.538 0.373 1
N5 N 0.000 0.000 0.500 1
N6 N 0.000 0.000 0.000 1
N7 N 0.430 0.860 0.750 1
N8 N 0.570 0.140 0.250 1
# **Space group**: No. 63
# **Electronic total energy**: -115.97 eV per cell
# **Energy relative to the elements, uncorrected**: -0.999 eV per atom



No. 5
# LaTlHg2Bi PBE relaxed
data_LaTlHg2Bi
_cell_length_a 5.440
_cell_length_b 6.105
_cell_length_c 5.440
_cell_angle_alpha 90.00
_cell_angle_beta 90.00
_cell_angle_gamma 90.00
_space_group_name_H-M_alt 'P 1'
_space_group_IT_number 1
loop_
_space_group_symop_operation_xyz
'x,y,z'
loop_
_atom_site_label
_atom_site_type_symbol
_atom_site_fract_x
_atom_site_fract_y
_atom_site_fract_z
_atom_site_occupancy
Tl1 Tl 0.000 0.000 0.000 1
La1 La 0.500 0.500 0.500 1
Bi1 Bi 0.000 0.500 0.000 1
Hg1 Hg 0.000 0.000 0.500 1
Hg2 Hg 0.500 0.000 0.000 1
# **Space group**: No. 123
# **Electronic total energy**: -11.06 eV per cell
# **Formation energy**: 13.8 kJ/mol of atoms



No. 6
# ScAsPb2 PBE relaxed
data_ScAsPb2
_cell_length_a 8.329
_cell_length_b 8.329
_cell_length_c 3.585
_cell_angle_alpha 77.48
_cell_angle_beta 77.48
_cell_angle_gamma 27.15
_space_group_name_H-M_alt 'P 1'
_space_group_IT_number 1
loop_
_space_group_symop_operation_xyz
'x,y,z'
loop_
_atom_site_label
_atom_site_type_symbol
_atom_site_fract_x
_atom_site_fract_y
_atom_site_fract_z
_atom_site_occupancy
As1 As 0.250 0.250 0.250 1
Pb1 Pb 0.931 0.931 0.069 1
Pb2 Pb 0.569 0.569 0.431 1
Sc1 Sc 0.750 0.750 0.750 1
# **Space group**: No. 12
# **Electronic total energy**: -20.08 eV per cell
# **Formation energy**: -40.6 kJ/mol of atoms